# 1
This record from Alexandria via LeMat-Bulk describes a relaxed Sr2Sc2Pb crystal. The functional is PBE.

Results
SG: P4/mbm

Geometry as POSCAR:
```
Sr2Sc2Pb
1.0
7.8722 0.0000 0.0000
0.0000 7.8722 0.0000
0.0000 0.0000 5.5579
Sr Pb Sc
4 2 4
direct
0.8321 0.3321 0.5000
0.3321 0.1679 0.5000
0.6679 0.8321 0.5000
0.1679 0.6679 0.5000
0.0000 0.0000 0.0000
0.5000 0.5000 0.0000
0.3550 0.8550 0.0000
0.1450 0.3550 0.0000
0.6450 0.1450 0.0000
0.8550 0.6450 0.0000
```



# 2
This record from Alexandria via LeMat-Bulk describes a relaxed SrSc2Pb crystal. The functional is PBE.

Results
SG: P4mm

Geometry as POSCAR:
```
SrSc2Pb
1.0
3.6809 0.0000 0.0000
0.0000 3.6809 0.0000
0.0000 0.0000 8.7819
Sr Pb Sc
1 1 2
direct
0.0000 0.0000 0.5134
0.5000 0.5000 0.7895
0.0000 0.0000 0.9969
0.5000 0.5000 0.2002
```



# 3
This record from Alexandria via LeMat-Bulk describes a relaxed SrSc2Pb crystal. The functional is PBE.

Results
SG: P2/m

Geometry as POSCAR:
```
SrSc2Pb
1.0
5.2088 0.0000 0.0000
0.0000 3.6068 0.0104
0.0000 1.3957 6.3833
Pb Sc Sr
1 2 1
direct
0.5000 0.7500 0.7500
0.0000 0.9177 0.9582
0.0000 0.5823 0.5418
0.5000 0.2500 0.2500
```



# 4
This record from Alexandria via LeMat-Bulk describes a relaxed SrSc2Pb crystal. The functional is PBE.

Results
SG: Cm

Geometry as POSCAR:
```
SrSc2Pb
1.0
5.5586 -0.0253 -0.0079
4.4702 3.3040 -0.0079
0.9676 0.3163 6.5577
Pb Sr Sc
1 1 2
direct
0.2574 0.2574 0.2051
0.5089 0.5089 0.4905
0.9965 0.9965 0.9897
0.7372 0.7372 0.8147
```



no.,ΔE_f (eV per atom),magnetization (μB/f.u.)
1,0.02,0.4
2,-0.13,0.5
3,-0.02,0.0
4,0.00,0.0